Density functional theory data (GGA+U) for an optimized crystal structure of TcMo2IO.

## Properties
Crystal system: tetragonal
Symmetry: P4/mmm, No. 123
Raw total energy: -22.8 eV/cell

Cell and atoms, written as extended XYZ:
```
5
Lattice="5.181 0.000 0.000 0.000 5.181 0.000 0.000 0.000 5.057" Properties=species:S:1:pos:R:3 pbc="T T T"
Tc 0.000 0.000 0.000
Mo 0.000 2.590 0.000
Mo 2.590 0.000 0.000
I 0.000 0.000 2.529
O 2.590 2.590 2.529
```